Record 1
## NaZnAsO (GGA-PBE)

Data for a relaxed NaZnAsO crystal.

a = 3.220 Å, b = 7.751 Å, c = 5.386 Å
α = 90.00°, β = 90.00°, γ = 90.00°
Fractional coordinates of all 8 atoms:
1 As 0.000 0.442 0.379
2 As 0.000 0.558 0.879
3 Na 0.500 0.140 0.493
4 Na 0.500 0.860 0.993
5 O 0.500 0.869 0.421
6 O 0.500 0.131 0.921
7 Zn 0.000 0.746 0.462
8 Zn 0.000 0.254 0.962

Computed properties:
calculated density	4.43	Mg/m³
total energy	-3.800	eV per atom

---

Record 2
## NaZr2As3O12 (GGA-PBE)

Data for a relaxed NaZr2As3O12 crystal.

a = 9.213 Å, b = 9.213 Å, c = 9.311 Å
α = 90.00°, β = 119.65°, γ = 60.00°
Fractional coordinates of all 36 atoms:
1 As 0.207 0.250 0.250
2 As 0.500 0.543 0.250
3 As 0.793 0.957 0.250
4 As 0.207 0.043 0.750
5 As 0.500 0.457 0.750
6 As 0.793 0.750 0.750
7 Na 0.000 0.000 0.000
8 Na 0.000 0.500 0.500
9 O 0.569 0.125 0.067
10 O 0.191 0.306 0.067
11 O 0.373 0.502 0.067
12 O 0.181 0.080 0.240
13 O 0.320 0.739 0.240
14 O 0.980 0.941 0.240
15 O 0.020 0.420 0.260
16 O 0.680 0.559 0.260
17 O 0.819 0.761 0.260
18 O 0.431 0.194 0.433
19 O 0.627 0.375 0.433
20 O 0.809 0.998 0.433
21 O 0.191 0.002 0.567
22 O 0.373 0.625 0.567
23 O 0.569 0.806 0.567
24 O 0.181 0.239 0.740
25 O 0.320 0.441 0.740
26 O 0.980 0.580 0.740
27 O 0.020 0.059 0.760
28 O 0.680 0.261 0.760
29 O 0.819 0.920 0.760
30 O 0.627 0.498 0.933
31 O 0.809 0.694 0.933
32 O 0.431 0.875 0.933
33 Zr 0.716 0.642 0.074
34 Zr 0.284 0.858 0.426
35 Zr 0.716 0.142 0.574
36 Zr 0.284 0.358 0.926

Computed properties:
calculated density	3.68	Mg/m³
total energy	-7.132	eV per atom

---

Record 3
## NaAsOs (GGA-PBE)

Data for a relaxed NaAsOs crystal.

a = 4.308 Å, b = 4.308 Å, c = 4.308 Å
α = 60.00°, β = 60.00°, γ = 60.00°
Fractional coordinates of all 3 atoms:
1 As 0.250 0.250 0.250
2 Na 0.000 0.000 0.000
3 Os 0.750 0.750 0.750

Computed properties:
calculated density	8.46	Mg/m³
total energy	-4.086	eV per atom

---

Record 4
## NaAsOs (GGA-PBE)

Data for a relaxed NaAsOs crystal.

a = 4.225 Å, b = 4.225 Å, c = 4.225 Å
α = 60.00°, β = 60.00°, γ = 60.00°
Fractional coordinates of all 3 atoms:
1 As 0.000 0.000 0.000
2 Na 0.250 0.250 0.250
3 Os 0.750 0.750 0.750

Computed properties:
calculated density	8.97	Mg/m³
total energy	-5.196	eV per atom

---

Record 5
## NaAsPPd2 (GGA-PBE)

Data for a relaxed NaAsPPd2 crystal.

a = 5.753 Å, b = 5.753 Å, c = 5.753 Å
α = 136.34°, β = 136.34°, γ = 63.45°
Fractional coordinates of all 5 atoms:
1 As 0.613 0.613 0.000
2 Na 0.000 0.000 0.000
3 P 0.374 0.374 0.000
4 Pd 0.756 0.256 0.500
5 Pd 0.256 0.756 0.500

Computed properties:
calculated density	6.33	Mg/m³
total energy	-4.816	eV per atom

---

Record 6
## Na3As2Pd3 (GGA-PBE)

Data for a relaxed Na3As2Pd3 crystal.

a = 7.031 Å, b = 7.031 Å, c = 7.031 Å
α = 46.43°, β = 46.43°, γ = 46.43°
Fractional coordinates of all 8 atoms:
1 As 0.233 0.233 0.233
2 As 0.767 0.767 0.767
3 Na 0.081 0.081 0.081
4 Na 0.500 0.500 0.500
5 Na 0.919 0.919 0.919
6 Pd 0.500 0.500 0.000
7 Pd 0.500 0.000 0.500
8 Pd 0.000 0.500 0.500

Computed properties:
calculated density	5.36	Mg/m³
total energy	-4.009	eV per atom

---

Record 7
## Na5As7Pd9 (GGA-PBE)

Data for a relaxed Na5As7Pd9 crystal.

a = 10.227 Å, b = 10.227 Å, c = 4.181 Å
α = 90.00°, β = 90.00°, γ = 120.00°
Fractional coordinates of all 21 atoms:
1 As 0.453 0.091 0.000
2 As 0.909 0.362 0.000
3 As 0.638 0.547 0.000
4 As 0.333 0.667 0.000
5 As 0.203 0.252 0.500
6 As 0.049 0.797 0.500
7 As 0.748 0.951 0.500
8 Na 0.000 0.000 0.000
9 Na 0.667 0.333 0.500
10 Na 0.438 0.551 0.500
11 Na 0.113 0.562 0.500
12 Na 0.449 0.887 0.500
13 Pd 0.706 0.096 0.000
14 Pd 0.389 0.294 0.000
15 Pd 0.161 0.374 0.000
16 Pd 0.904 0.611 0.000
17 Pd 0.626 0.786 0.000
18 Pd 0.214 0.839 0.000
19 Pd 0.289 0.062 0.500
20 Pd 0.938 0.226 0.500
21 Pd 0.774 0.711 0.500

Computed properties:
calculated density	7.00	Mg/m³
total energy	-4.528	eV per atom

---

Record 8
## NaAs2Pd3 (GGA-PBE)

Data for a relaxed NaAs2Pd3 crystal.

a = 7.103 Å, b = 7.103 Å, c = 7.103 Å
α = 118.24°, β = 82.07°, γ = 131.67°
Fractional coordinates of all 12 atoms:
1 As 0.580 0.441 0.139
2 As 0.382 0.066 0.316
3 As 0.749 0.066 0.684
4 As 0.302 0.441 0.861
5 Na 0.958 0.958 0.000
6 Na 0.023 0.523 0.500
7 Pd 0.985 0.544 0.047
8 Pd 0.514 0.808 0.294
9 Pd 0.985 0.938 0.441
10 Pd 0.497 0.544 0.559
11 Pd 0.514 0.220 0.706
12 Pd 0.497 0.938 0.953

Computed properties:
calculated density	7.20	Mg/m³
total energy	-4.784	eV per atom

---

Question: Which value of total energy does entry 2 give?
Answer: -7.132 eV per atom

---

Question: Among the records above, which one has the highest calculated density?
Answer: number 4

---

Copy entry 1 word for word.
## NaZnAsO (GGA-PBE)

Data for a relaxed NaZnAsO crystal.

a = 3.220 Å, b = 7.751 Å, c = 5.386 Å
α = 90.00°, β = 90.00°, γ = 90.00°
Fractional coordinates of all 8 atoms:
1 As 0.000 0.442 0.379
2 As 0.000 0.558 0.879
3 Na 0.500 0.140 0.493
4 Na 0.500 0.860 0.993
5 O 0.500 0.869 0.421
6 O 0.500 0.131 0.921
7 Zn 0.000 0.746 0.462
8 Zn 0.000 0.254 0.962

Computed properties:
calculated density	4.43	Mg/m³
total energy	-3.800	eV per atom